[1]
Crystalline La2TbPm5Ho at its relaxed geometry. Source: Alexandria via LeMat-Bulk, functional PBE.

## Properties
The electronic total energy comes out at -83.3 eV/cell. The calculation puts the formation energy at 0.13 eV per atom.

Lattice parameters (Å, degrees): 5.7330 10.5384 10.8280 90.00 90.00 105.78
With the nearest neighbours (Å) after each atom.
Fractional coordinates of all 18 atoms:
Pm1 0.6143 0.2286 0.5215  6 Pm 3.59-3.90, 4 La 3.62-3.67, 1 Ho 3.75
Pm2 0.7035 0.4071 0.2040  3 Pm 3.45-3.78, 1 Tb 3.47, 3 Ho 3.55-3.84, 3 La 3.57-3.71
Pm3 0.3857 0.7714 0.0215  6 Pm 3.59-3.90, 4 La 3.62-3.67, 1 Ho 3.75
Tb1 0.4090 0.8180 0.4624  6 Pm 3.10-3.47
La1 0.1142 0.2283 0.7339  1 Ho 3.47, 7 Pm 3.50-3.71, 2 Tb 3.82
Pm4 0.4816 0.9632 0.7423  2 Tb 3.26-3.37, 2 La 3.59, 2 Pm 3.59-3.60
Ho1 0.7991 0.5982 0.5100  2 La 3.47-3.74, 8 Pm 3.55-3.84, 2 Tb 3.67
Pm5 0.5184 0.0368 0.2423  2 Tb 3.26-3.37, 2 La 3.59, 2 Pm 3.59-3.60
Ho2 0.2009 0.4018 0.0100  2 La 3.47-3.74, 8 Pm 3.55-3.84, 2 Tb 3.67
Pm6 0.0157 0.0315 0.0207  2 Tb 3.31, 3 La 3.48-3.69
Pm7 0.2965 0.5929 0.7040  3 Pm 3.45-3.78, 1 Tb 3.47, 3 Ho 3.55-3.84, 3 La 3.57-3.71
La2 0.8858 0.7717 0.2339  1 Ho 3.47, 7 Pm 3.50-3.71, 2 Tb 3.82
Tb2 0.5910 0.1820 0.9624  6 Pm 3.10-3.47
La3 0.8825 0.7651 0.8176  8 Pm 3.28-3.62
Pm8 0.7210 0.4420 0.8116  1 Tb 3.10, 1 La 3.28, 2 Pm 3.45
La4 0.1175 0.2349 0.3176  8 Pm 3.28-3.62
Pm9 0.2790 0.5580 0.3116  1 Tb 3.10, 1 La 3.28, 2 Pm 3.45
Pm10 0.9843 0.9685 0.5207  2 Tb 3.31, 3 La 3.48-3.69

=====

[2]
Crystalline CaSb2TeI at its relaxed geometry. Source: Alexandria via LeMat-Bulk, functional PBE.

## Properties
The value obtained for the energy relative to the lowest polymorph listed for this composition is 0 kJ/mol of formula units. The electronic total energy comes out at -14.0 eV/cell. The energy relative to the elements, uncorrected is 0.19 eV per atom.

Lattice parameters (Å, degrees): 5.7599 5.7599 6.0074 90.00 90.00 90.00
With the nearest neighbours (Å) after each atom.
Fractional coordinates of all 5 atoms:
I1 0.0000 0.0000 0.5000  2 Te 3.00
Te1 0.0000 0.0000 0.0000  4 Sb 2.88, 2 I 3.00
Ca1 0.5000 0.5000 0.5000  4 I 4.07, 8 Sb 4.16
Sb1 0.5000 0.0000 0.0000  2 Te 2.88
Sb2 0.0000 0.5000 0.0000  2 Te 2.88

=====

[3]
Crystalline ZrMn2Cu2 at its relaxed geometry. Source: Alexandria via LeMat-Bulk, functional PBE.

## Properties
The value obtained for the energy relative to the lowest polymorph listed for this composition is 0 kJ/mol of formula units. The electronic total energy comes out at -68.8 eV/cell. The calculation puts the formation energy at 0.14 eV per atom.

Lattice parameters (Å, degrees): 7.2284 7.2284 2.8662 90.00 90.00 90.00
With the nearest neighbours (Å) after each atom.
Fractional coordinates of all 10 atoms:
Cu1 0.1220 0.3780 0.0000  1 Cu 2.49, 6 Mn 2.55-2.59
Zr1 0.0000 0.0000 0.0000  2 Zr 2.87, 4 Cu 2.87, 8 Mn 3.04
Cu2 0.8780 0.6220 0.0000  1 Cu 2.49, 6 Mn 2.55-2.59
Mn1 0.3281 0.1719 0.5000  6 Cu 2.55-2.59
Cu3 0.3780 0.8780 0.0000  1 Cu 2.49, 6 Mn 2.55-2.59
Mn2 0.1719 0.6719 0.5000  6 Cu 2.55-2.59
Mn3 0.8281 0.3281 0.5000  6 Cu 2.55-2.59
Zr2 0.5000 0.5000 0.0000  2 Zr 2.87, 4 Cu 2.87, 8 Mn 3.04
Mn4 0.6719 0.8281 0.5000  6 Cu 2.55-2.59
Cu4 0.6220 0.1220 0.0000  1 Cu 2.49, 6 Mn 2.55-2.59

=====

[4]
Crystalline CuPtI2O at its relaxed geometry. Source: Alexandria via LeMat-Bulk, functional PBE.

## Properties
The value obtained for the energy relative to the lowest polymorph listed for this composition is 91 kJ/mol of formula units. The electronic total energy comes out at -15.9 eV/cell. The energy relative to the elements, uncorrected is 0.46 eV per atom.

Lattice parameters (Å, degrees): 5.4981 5.4981 3.5075 90.00 90.00 90.00
With the nearest neighbours (Å) after each atom.
Fractional coordinates of all 5 atoms:
I1 0.5000 0.0000 0.0000  2 Cu 2.75
I2 0.0000 0.5000 0.0000  2 Cu 2.75
Pt1 0.5000 0.5000 0.5000  8 I 3.26, 2 Pt 3.51
Cu1 0.0000 0.0000 0.0000  2 O 1.75
O1 0.0000 0.0000 0.5000  2 Cu 1.75

=====

[5]
Crystalline ScFe2Co2 at its relaxed geometry. Source: Alexandria via LeMat-Bulk, functional PBE.

## Properties
The value obtained for the energy relative to the lowest polymorph listed for this composition is 7 kJ/mol of formula units. The electronic total energy comes out at -74.9 eV/cell. The calculation puts the formation energy at 0.00 eV per atom.

Lattice parameters (Å, degrees): 6.9089 6.9089 2.7730 90.00 90.00 90.00
With the nearest neighbours (Å) after each atom.
Fractional coordinates of all 10 atoms:
Sc1 0.0000 0.0000 0.0000  4 Co 2.68, 2 Sc 2.77, 8 Fe 2.97
Co1 0.1384 0.3616 0.0000  6 Fe 2.45-2.47, 2 Sc 2.68, 1 Co 2.70
Fe1 0.8472 0.3472 0.5000  6 Co 2.45-2.47
Fe2 0.6528 0.8472 0.5000  6 Co 2.45-2.47
Co2 0.8616 0.6384 0.0000  6 Fe 2.45-2.47, 2 Sc 2.68, 1 Co 2.70
Co3 0.3616 0.8616 0.0000  6 Fe 2.45-2.47, 2 Sc 2.68, 1 Co 2.70
Co4 0.6384 0.1384 0.0000  6 Fe 2.45-2.47, 2 Sc 2.68, 1 Co 2.70
Fe3 0.1528 0.6528 0.5000  6 Co 2.45-2.47
Fe4 0.3472 0.1528 0.5000  6 Co 2.45-2.47
Sc2 0.5000 0.5000 0.0000  4 Co 2.68, 2 Sc 2.77, 8 Fe 2.97

=====

[6]
Crystalline K2SmSnTe4 at its relaxed geometry. Source: Alexandria via LeMat-Bulk, functional PBE.

## Properties
The electronic total energy comes out at -31.2 eV/cell. The energy relative to the elements, uncorrected is -0.97 eV per atom.

Lattice parameters (Å, degrees): 4.4941 7.9566 8.6666 107.25 90.00 90.00
With the nearest neighbours (Å) after each atom.
Fractional coordinates of all 8 atoms:
Te1 0.0000 0.7401 0.2094  1 Sn 3.13, 2 Sm 3.15
K1 0.0000 0.5000 0.5000  6 Te 3.58
Te2 0.5000 0.7668 0.7934  2 Sn 3.12, 1 Sm 3.16
Te3 0.5000 0.2332 0.2066  2 Sn 3.12, 1 Sm 3.16
Sn1 0.0000 0.0000 0.0000  6 Te 3.12-3.13
Sm1 0.5000 0.5000 0.0000  6 Te 3.15-3.16
Te4 0.0000 0.2599 0.7906  1 Sn 3.13, 2 Sm 3.15
K2 0.5000 0.0000 0.5000  6 Te 3.55-3.56

=====

[7]
Crystalline Al2Cu3Si3 at its relaxed geometry. Source: Alexandria via LeMat-Bulk, functional PBE.

## Properties
The value obtained for the energy relative to the lowest polymorph listed for this composition is 115 kJ/mol of formula units. The electronic total energy comes out at -68.5 eV/cell. The energy relative to the elements, uncorrected is 0.22 eV per atom.

Lattice parameters (Å, degrees): 7.3992 7.3992 4.9352 90.00 90.00 120.01
With the nearest neighbours (Å) after each atom.
Fractional coordinates of all 16 atoms:
Cu1 0.8002 0.0000 0.7500  2 Si 2.48, 2 Cu 2.56
Si1 0.0000 0.6130 0.2500  2 Cu 2.48, 4 Al 2.60
Al1 0.3333 0.6667 0.5000  2 Al 2.47, 6 Si 2.60
Si2 0.0000 0.3870 0.7500  2 Cu 2.48, 4 Al 2.60
Al2 0.6667 0.3333 0.0000  2 Al 2.47, 6 Si 2.60
Si3 0.3870 0.3870 0.2500  2 Cu 2.48, 4 Al 2.60
Cu2 0.0000 0.8002 0.7500  2 Si 2.48, 2 Cu 2.56
Al3 0.6667 0.3333 0.5000  2 Al 2.47, 6 Si 2.60
Si4 0.3870 0.0000 0.7500  2 Cu 2.48, 4 Al 2.60
Cu3 0.0000 0.1998 0.2500  2 Si 2.48, 2 Cu 2.56
Si5 0.6130 0.6130 0.7500  2 Cu 2.48, 4 Al 2.60
Cu4 0.1998 0.1998 0.7500  2 Si 2.48, 2 Cu 2.56
Cu5 0.8002 0.8002 0.2500  2 Si 2.48, 2 Cu 2.56
Al4 0.3333 0.6667 0.0000  2 Al 2.47, 6 Si 2.60
Si6 0.6130 0.0000 0.2500  2 Cu 2.48, 4 Al 2.60
Cu6 0.1998 0.0000 0.2500  2 Si 2.48, 2 Cu 2.56

=====

[8]
Crystalline Zr2Be2MoRu5 at its relaxed geometry. Source: Alexandria via LeMat-Bulk, functional PBE.

## Properties
The electronic total energy comes out at -172.2 eV/cell. The calculation puts the formation energy at -0.44 eV per atom.

Lattice parameters (Å, degrees): 3.1839 9.5000 9.5000 90.00 90.00 90.00
With the nearest neighbours (Å) after each atom.
Fractional coordinates of all 20 atoms:
Mo1 0.0000 0.5000 0.5000  8 Ru 2.63
Zr1 0.0000 0.3264 0.8264  3 Be 2.76-2.84, 10 Ru 2.82-3.03
Ru1 0.5000 0.0706 0.7917  2 Be 2.32
Mo2 0.0000 0.0000 0.0000  8 Ru 2.63
Be1 0.0000 0.3788 0.1212  6 Ru 2.28-2.32
Zr2 0.0000 0.1736 0.3264  3 Be 2.76-2.84, 10 Ru 2.82-3.03
Ru2 0.5000 0.0000 0.5000  4 Be 2.28
Zr3 0.0000 0.8264 0.6736  3 Be 2.76-2.84, 10 Ru 2.82-3.03
Ru3 0.5000 0.4294 0.2917  2 Be 2.32
Be2 0.0000 0.1212 0.6212  6 Ru 2.28-2.32
Ru4 0.5000 0.5000 0.0000  4 Be 2.28
Ru5 0.5000 0.2083 0.0706  2 Be 2.32
Be3 0.0000 0.8788 0.3788  6 Ru 2.28-2.32
Ru6 0.5000 0.7083 0.4294  2 Be 2.32
Be4 0.0000 0.6212 0.8788  6 Ru 2.28-2.32
Ru7 0.5000 0.9294 0.2083  2 Be 2.32
Ru8 0.5000 0.2917 0.5706  2 Be 2.32
Zr4 0.0000 0.6736 0.1736  3 Be 2.76-2.84, 10 Ru 2.82-3.03
Ru9 0.5000 0.7917 0.9294  2 Be 2.32
Ru10 0.5000 0.5706 0.7083  2 Be 2.32

=====

[9]
Crystalline Ba2TlCu at its relaxed geometry. Source: Alexandria via LeMat-Bulk, functional PBE.

## Properties
The electronic total energy comes out at -10.2 eV/cell. The calculation puts the formation energy at 0.03 eV per atom.

Lattice parameters (Å, degrees): 5.6239 5.6239 5.6239 60.00 60.00 60.00
With the nearest neighbours (Å) after each atom.
Fractional coordinates of all 4 atoms:
Ba1 0.0000 0.0000 0.0000  4 Ba 3.44, 4 Tl 3.44
Tl1 0.7500 0.7500 0.7500  4 Ba 3.44, 4 Cu 3.44
Cu1 0.5000 0.5000 0.5000  4 Ba 3.44, 4 Tl 3.44
Ba2 0.2500 0.2500 0.2500  4 Ba 3.44, 4 Cu 3.44

=====

[10]
Crystalline Re2MoSe at its relaxed geometry. Source: Alexandria via LeMat-Bulk, functional PBE.

## Properties
The electronic total energy comes out at -36.7 eV/cell. The energy relative to the elements, uncorrected is 0.63 eV per atom.

Lattice parameters (Å, degrees): 4.9208 4.9208 2.9524 90.00 90.00 118.07
With the nearest neighbours (Å) after each atom.
Fractional coordinates of all 4 atoms:
Se1 0.5000 0.0000 0.5000  2 Mo 2.53
Re1 0.5000 0.5000 0.0000  2 Re 2.53
Re2 0.0000 0.0000 0.0000  2 Re 2.53
Mo1 0.0000 0.5000 0.5000  2 Se 2.53

=====

[11]
Crystalline VAgSeN2 at its relaxed geometry. Source: Alexandria via LeMat-Bulk, functional PBE.

## Properties
The value obtained for the energy relative to the lowest polymorph listed for this composition is 811 kJ/mol of formula units. The electronic total energy comes out at -22.0 eV/cell. The energy relative to the elements, uncorrected is 2.01 eV per atom.

Lattice parameters (Å, degrees): 3.9802 3.9802 5.2068 90.00 90.00 90.00
With the nearest neighbours (Å) after each atom.
Fractional coordinates of all 5 atoms:
N1 0.5000 0.0000 0.0000  2 Ag 1.99
Se1 0.0000 0.0000 0.5000  2 Ag 2.60, 4 V 2.81
V1 0.5000 0.5000 0.5000  4 Se 2.81
N2 0.0000 0.5000 0.0000  2 Ag 1.99
Ag1 0.0000 0.0000 0.0000  4 N 1.99

=====

[12]
Crystalline Ti2In2Au at its relaxed geometry. Source: Alexandria via LeMat-Bulk, functional PBE.

## Properties
The value obtained for the energy relative to the lowest polymorph listed for this composition is 0 kJ/mol of formula units. The electronic total energy comes out at -49.1 eV/cell. The calculation puts the formation energy at 0.00 eV per atom.

Lattice parameters (Å, degrees): 6.8714 6.8714 4.4379 90.00 90.00 90.00
With the nearest neighbours (Å) after each atom.
Fractional coordinates of all 10 atoms:
In1 0.6652 0.8348 0.5000  6 Ti 2.95-3.04, 1 In 3.21
Ti1 0.1348 0.3652 0.0000  1 Ti 2.62, 2 Au 2.67
Au1 0.5000 0.5000 0.0000  4 Ti 2.67
Ti2 0.6348 0.1348 0.0000  1 Ti 2.62, 2 Au 2.67
Ti3 0.8652 0.6348 0.0000  1 Ti 2.62, 2 Au 2.67
In2 0.3348 0.1652 0.5000  6 Ti 2.95-3.04, 1 In 3.21
In3 0.1652 0.6652 0.5000  6 Ti 2.95-3.04, 1 In 3.21
Ti4 0.3652 0.8652 0.0000  1 Ti 2.62, 2 Au 2.67
Au2 0.0000 0.0000 0.0000  4 Ti 2.67
In4 0.8348 0.3348 0.5000  6 Ti 2.95-3.04, 1 In 3.21

=====

[13]
Crystalline BeP2Br at its relaxed geometry. Source: Alexandria via LeMat-Bulk, functional PBE.

## Properties
The value obtained for the energy relative to the lowest polymorph listed for this composition is 287 kJ/mol of formula units. The electronic total energy comes out at -28.3 eV/cell. The energy relative to the elements, uncorrected is 0.51 eV per atom.

Lattice parameters (Å, degrees): 5.0769 5.0769 7.3257 69.73 69.73 90.00
With the nearest neighbours (Å) after each atom.
Fractional coordinates of all 8 atoms:
Br1 0.0000 0.0000 0.0000  4 P 2.88
P1 0.4741 0.1250 0.2500  2 Be 2.10
P2 0.2759 0.6250 0.2500  2 Be 2.10
P3 0.3750 0.5259 0.7500  2 Be 2.10
Be1 0.5000 0.5000 0.0000  4 P 2.10
Br2 0.7500 0.2500 0.5000  4 P 2.88
P4 0.8750 0.7241 0.7500  2 Be 2.10
Be2 0.2500 0.7500 0.5000  4 P 2.10

=====

[14]
Crystalline Dy11Mg9Zn4 at its relaxed geometry. Source: Alexandria via LeMat-Bulk, functional PBE.

## Properties
The electronic total energy comes out at -73.8 eV/cell. The calculation puts the formation energy at -0.15 eV per atom.

Lattice parameters (Å, degrees): 3.7574 13.3723 13.3723 113.59 90.00 90.00
With the nearest neighbours (Å) after each atom.
Fractional coordinates of all 24 atoms:
Mg1 0.5000 0.2138 0.0645  1 Zn 3.20, 8 Dy 3.24-3.35, 1 Mg 3.34
Dy1 0.0000 0.2889 0.2889  4 Zn 3.00, 4 Mg 3.34
Zn1 0.5000 0.7393 0.5497  6 Dy 2.97-3.00, 2 Mg 3.00-3.20
Dy2 0.0000 0.0000 0.0000  8 Mg 3.24, 2 Dy 3.56
Zn2 0.5000 0.2607 0.4503  6 Dy 2.97-3.00, 2 Mg 3.00-3.20
Mg2 0.5000 0.9355 0.7862  1 Zn 3.20, 8 Dy 3.24-3.35, 1 Mg 3.34
Dy3 0.0000 0.3615 0.6385  4 Zn 2.99
Dy4 0.0000 0.5840 0.9224  2 Zn 2.97, 4 Mg 3.24-3.27
Zn3 0.5000 0.4503 0.2607  6 Dy 2.97-3.00, 2 Mg 3.00-3.20
Mg3 0.5000 0.0645 0.2138  1 Zn 3.20, 8 Dy 3.24-3.35, 1 Mg 3.34
Zn4 0.5000 0.5497 0.7393  6 Dy 2.97-3.00, 2 Mg 3.00-3.20
Mg4 0.5000 0.1472 0.6333  1 Mg 3.21, 8 Dy 3.27-3.40, 1 Zn 3.36
Dy5 0.0000 0.1589 0.8411  8 Mg 3.31-3.35, 3 Dy 3.56-3.62
Dy6 0.0000 0.6385 0.3615  4 Zn 2.99
Dy7 0.0000 0.4160 0.0776  2 Zn 2.97, 4 Mg 3.24-3.27
Mg5 0.5000 0.3667 0.8528  1 Mg 3.21, 8 Dy 3.27-3.40, 1 Zn 3.36
Dy8 0.0000 0.0776 0.4160  2 Zn 2.97, 4 Mg 3.24-3.27
Mg6 0.5000 0.8528 0.3667  1 Mg 3.21, 8 Dy 3.27-3.40, 1 Zn 3.36
Dy9 0.0000 0.7111 0.7111  4 Zn 3.00, 4 Mg 3.34
Mg7 0.5000 0.7862 0.9355  1 Zn 3.20, 8 Dy 3.24-3.35, 1 Mg 3.34
Mg8 0.5000 0.6333 0.1472  1 Mg 3.21, 8 Dy 3.27-3.40, 1 Zn 3.36
Mg9 0.5000 0.5000 0.5000  4 Zn 3.00
Dy10 0.0000 0.8411 0.1589  8 Mg 3.31-3.35, 3 Dy 3.56-3.62
Dy11 0.0000 0.9224 0.5840  2 Zn 2.97, 4 Mg 3.24-3.27